(1)
DFT (GGA-PBE) results for a relaxed structure of Nd8Ni2Pt.

extended XYZ file:
```
11
Lattice="4.181 -6.411 0.000 4.181 6.411 0.000 -2.058 0.000 6.027" Properties=species:S:1:pos:R:3 pbc="T T T"
Nd 0.000 0.000 0.000
Nd 0.022 1.712 3.515
Nd 2.678 2.639 1.205
Nd 0.022 -1.712 3.515
Nd 3.187 1.741 4.918
Nd 2.678 -2.639 1.205
Nd 3.187 -1.741 4.918
Nd 5.253 0.000 2.284
Ni 1.594 3.999 4.106
Ni 1.594 -3.999 4.106
Pt 0.923 0.000 5.933
```

Computed properties:
- Crystal system: monoclinic
- ΔE to the lowest computed polymorph: 8.3 kJ per mole of atoms
- Space-group type: Cm (8)
- N(E_F): 14.23 states/eV/cell
- Formation energy: -0.210 eV/atom
- VASP energy: -5.28 eV per atom



(2)
DFT (GGA-PBE) results for a relaxed structure of PuScPb2O6.

extended XYZ file:
```
20
Lattice="5.913 0.000 0.000 0.000 5.945 0.000 -5.897 0.000 8.376" Properties=species:S:1:pos:R:3 pbc="T T T"
Pu 0.000 0.000 0.000
Pu -2.948 2.972 4.188
Sc 0.008 0.000 4.188
Sc 2.956 2.972 0.000
Pb -2.906 0.150 6.300
Pb 0.043 2.822 2.112
Pb -0.027 3.123 6.263
Pb 2.922 5.794 2.075
O -0.443 0.093 2.097
O -3.392 2.879 6.285
O 1.260 4.239 0.342
O -1.689 4.678 4.530
O 1.717 1.262 0.323
O -1.232 1.711 4.511
O 1.247 4.234 3.865
O -1.701 4.683 8.053
O 1.704 1.266 3.846
O -1.244 1.706 8.034
O 3.408 3.065 2.091
O 0.459 5.852 6.279
```

Computed properties:
- Formation energy without anion corrections: -22.79 eV per formula unit
- Crystal system: monoclinic
- Space-group type: P2_1/c (14)
- N(E_F): 18.42 states/eV/cell
- VASP energy: -8.06 eV per atom



(3)
DFT (GGA-PBE) results for a relaxed structure of MgCr2W.

extended XYZ file:
```
4
Lattice="2.572 0.000 0.000 0.000 2.572 0.000 0.000 0.000 8.926" Properties=species:S:1:pos:R:3 pbc="T T T"
Mg 0.000 0.000 0.000
Cr 1.286 1.286 2.267
Cr 1.286 1.286 6.659
W 0.000 0.000 4.463
```

Computed properties:
- Crystal system: tetragonal
- ΔE to the lowest computed polymorph: 24.2 kJ per mole of atoms
- Space-group type: P4/mmm (123)
- N(E_F): 3.80 states/eV/cell
- Formation energy: 0.578 eV/atom
- VASP energy: -7.87 eV per atom



(4)
DFT (GGA-PBE) results for a relaxed structure of CdBC2.

extended XYZ file:
```
8
Lattice="-2.332 2.332 3.983 2.332 -2.332 3.983 2.332 2.332 -3.983" Properties=species:S:1:pos:R:3 pbc="T T T"
Cd 0.000 0.000 0.000
Cd 0.000 2.332 1.992
B 2.332 0.000 1.992
B 0.000 0.000 3.983
C 1.166 -0.583 2.987
C 1.748 1.166 0.996
C 1.166 2.915 -0.996
C 0.583 1.166 4.979
```

Computed properties:
- Crystal system: tetragonal
- ΔE to the lowest computed polymorph: 0.0 kJ per mole of atoms
- Space-group type: I-42d (122)
- N(E_F): 3.14 states/eV/cell
- Formation energy: 1.185 eV/atom
- VASP energy: -5.33 eV per atom